Here is crystalline NaYP2 at its relaxed geometry from Alexandria. Energies are from PBE-GGA.

abc: 4.8606 4.8606 4.8606
angles: 60.00 60.00 60.00
Closest atoms and distances in Å follow each position.
Sites, in units of the cell vectors:
P1 0.7500 0.7500 0.7500  4 Na 2.98, 4 Y 2.98
P2 0.2500 0.2500 0.2500  4 Y 2.98, 4 Na 2.98
Na1 0.0000 0.0000 0.0000  8 P 2.98
Y1 0.5000 0.5000 0.5000  8 P 2.98

Results
energy of formation: -2.1 eV/f.u.
offset from the most stable computed form: 0 meV per atom

---

Here is crystalline La7Er12Th at its relaxed geometry from Alexandria. Energies are from PBE-GGA.

abc: 9.9315 9.9315 9.9315
angles: 109.47 109.47 109.47
Closest atoms and distances in Å follow each position.
Sites, in units of the cell vectors:
La1 0.5000 0.5000 0.0000  8 Er 4.08-4.10
La2 0.0000 0.5000 0.5000  8 Er 4.08-4.10
La3 0.5000 0.0000 0.0000  6 Er 2.92
La4 0.5000 0.5000 0.5000  6 Er 2.92
La5 0.0000 0.0000 0.5000  6 Er 2.92
La6 0.5000 0.0000 0.5000  8 Er 4.08-4.10
La7 0.0000 0.5000 0.0000  6 Er 2.92
Er1 0.7826 0.2166 0.9992  2 La 2.92
Er2 0.7834 0.0008 0.2174  2 La 2.92
Er3 0.4340 0.2174 0.2166  2 La 2.92
Er4 0.2166 0.9992 0.7826  2 La 2.92
Er5 0.2166 0.4340 0.2174  2 La 2.92
Er6 0.9992 0.7826 0.2166  2 La 2.92
Er7 0.7834 0.5660 0.7826  2 La 2.92
Er8 0.5660 0.7826 0.7834  2 La 2.92
Er9 0.7826 0.7834 0.5660  2 La 2.92
Er10 0.2174 0.2166 0.4340  2 La 2.92
Er11 0.2174 0.7834 0.0008  2 La 2.92
Er12 0.0008 0.2174 0.7834  2 La 2.92
Th1 0.0000 0.0000 0.0000  12 Er 3.52

Results
energy of formation: 12.9 eV/f.u.

---

Here is crystalline PmNd6In at its relaxed geometry from Alexandria. Energies are from PBE-GGA.

abc: 5.0444 5.0444 10.4078
angles: 90.00 90.00 90.00
Closest atoms and distances in Å follow each position.
Sites, in units of the cell vectors:
Nd1 0.5000 0.0000 0.2416  2 In 3.56, 8 Nd 3.56-3.69, 2 Pm 3.69
Nd2 0.0000 0.5000 0.2416  2 In 3.56, 8 Nd 3.56-3.69, 2 Pm 3.69
Nd3 0.5000 0.5000 0.5000  4 Pm 3.57, 8 Nd 3.69
Nd4 0.5000 0.0000 0.7584  2 In 3.56, 8 Nd 3.56-3.69, 2 Pm 3.69
Nd5 0.5000 0.5000 0.0000  8 Nd 3.56, 4 In 3.57
Nd6 0.0000 0.5000 0.7584  2 In 3.56, 8 Nd 3.56-3.69, 2 Pm 3.69
In1 0.0000 0.0000 0.0000  12 Nd 3.56-3.57
Pm1 0.0000 0.0000 0.5000  12 Nd 3.57-3.69

Results
energy of formation: -0.9 eV/f.u.

---

Here is crystalline Ta2MoAs at its relaxed geometry from Alexandria. Energies are from PBE-GGA.

abc: 5.3358 5.3358 5.3358
angles: 143.03 131.95 62.13
Closest atoms and distances in Å follow each position.
Sites, in units of the cell vectors:
Ta1 0.7533 0.2533 0.5000  4 Mo 2.75, 2 Ta 2.87, 4 As 2.92-3.08
Ta2 0.0074 0.0074 0.0000  4 As 2.76, 2 Mo 2.77, 2 Ta 2.87
As1 0.4923 0.4923 0.0000  8 Ta 2.76-3.08, 2 Mo 2.81
Mo1 0.2470 0.7470 0.5000  6 Ta 2.75-2.77, 2 As 2.81

Results
energy of formation: -0.3 eV/f.u.

---

Here is crystalline MnGePHCN at its relaxed geometry from Alexandria. Energies are from PBE-GGA.

abc: 3.2189 4.2333 6.0973
angles: 74.29 74.69 67.65
Closest atoms and distances in Å follow each position.
Sites, in units of the cell vectors:
Ge1 0.3907 0.8837 0.9981  1 N 1.92, 2 C 1.99
C1 0.7304 0.1708 0.0316  1 H 1.11
N1 0.5274 0.4238 0.1846  1 C 1.46
P1 0.5982 0.8715 0.5953  1 Ge 2.38, 1 H 2.40, 3 Mn 2.43-2.59
H1 0.7519 0.3114 0.8481  1 C 1.11
Mn1 0.9653 0.3101 0.4225  2 N 2.12

Results
offset from the most stable computed form: 126 meV per atom

---

Here is crystalline Ce3MnN5 at its relaxed geometry from Alexandria. Energies are from PBE-GGA.

abc: 6.5783 6.5783 7.2495
angles: 116.98 116.98 90.00
Closest atoms and distances in Å follow each position.
Sites, in units of the cell vectors:
Ce1 0.1731 0.3269 0.0000  4 N 2.34-2.43
Ce2 0.8269 0.6731 0.0000  4 N 2.34-2.43
Ce3 0.6731 0.1731 0.0000  4 N 2.34-2.43
Ce4 0.2500 0.2500 0.5000  10 N 2.77-2.78
Ce5 0.7500 0.7500 0.5000  10 N 2.77-2.78
Ce6 0.3269 0.8269 0.0000  4 N 2.34-2.43
N1 0.5004 0.2925 0.2929  1 Mn 1.78
N2 0.0000 0.0000 0.0000  4 Ce 2.43
N3 0.0004 0.5004 0.2929  1 Mn 1.78
N4 0.7075 0.2075 0.7071  1 Mn 1.78
N5 0.2925 0.7925 0.2929  1 Mn 1.78
N6 0.2075 0.9996 0.7071  1 Mn 1.78
N7 0.9996 0.4996 0.7071  1 Mn 1.78
N8 0.7925 0.0004 0.2929  1 Mn 1.78
N9 0.5000 0.5000 0.0000  4 Ce 2.43
N10 0.4996 0.7075 0.7071  1 Mn 1.78
Mn1 0.7500 0.2500 0.5000  4 N 1.78
Mn2 0.2500 0.7500 0.5000  4 N 1.78

Results
uncorrected formation energy: -1.168 eV per atom

---

Here is crystalline Pm3Tl2Ni at its relaxed geometry from Alexandria. Energies are from PBE-GGA.

abc: 6.4712 6.9068 8.1785
angles: 102.48 113.30 90.00
Closest atoms and distances in Å follow each position.
Sites, in units of the cell vectors:
Pm1 0.9473 0.9095 0.7173  1 Ni 2.65
Pm2 0.2301 0.5905 0.2827  1 Ni 2.65
Pm3 0.6168 0.7500 0.0000  1 Ni 2.99, 4 Tl 3.22-3.23
Pm4 0.3832 0.2500 0.0000  1 Ni 2.99, 4 Tl 3.22-3.23
Pm5 0.7699 0.4095 0.7173  1 Ni 2.65
Pm6 0.0527 0.0905 0.2827  1 Ni 2.65
Tl1 0.5704 0.0479 0.3444  6 Pm 3.21-3.40, 1 Tl 3.21, 1 Ni 3.30
Tl2 0.2259 0.4521 0.6556  6 Pm 3.21-3.40, 1 Tl 3.21, 1 Ni 3.30
Tl3 0.4296 0.9521 0.6556  6 Pm 3.21-3.40, 1 Tl 3.21, 1 Ni 3.30
Tl4 0.7741 0.5479 0.3444  6 Pm 3.21-3.40, 1 Tl 3.21, 1 Ni 3.30
Ni1 0.1552 0.7500 0.0000  2 Pm 2.65
Ni2 0.8448 0.2500 0.0000  2 Pm 2.65

Results
energy of formation: -1.4 eV/f.u.

---

Here is crystalline BaLa3Pt at its relaxed geometry from Alexandria. Energies are from PBE-GGA.

abc: 5.5766 7.4938 8.4599
angles: 90.00 90.00 90.00
Closest atoms and distances in Å follow each position.
Sites, in units of the cell vectors:
Ba1 0.7499 0.7500 0.7036  8 La 3.65-3.90
Ba2 0.2501 0.2500 0.2964  8 La 3.65-3.90
La1 0.7500 0.9706 0.1506  3 Pt 2.95-3.27, 1 La 3.31
La2 0.2500 0.4706 0.8494  3 Pt 2.95-3.27, 1 La 3.31
La3 0.7500 0.5294 0.1506  3 Pt 2.95-3.27, 1 La 3.31
La4 0.7500 0.2500 0.5746  1 Pt 2.79
La5 0.2500 0.7500 0.4254  1 Pt 2.79
La6 0.2500 0.0294 0.8494  3 Pt 2.95-3.27, 1 La 3.31
Pt1 0.7499 0.2500 0.9042  3 La 2.79-2.95
Pt2 0.2501 0.7500 0.0958  3 La 2.79-2.95

Results
energy of formation: -1.9 eV/f.u.
offset from the most stable computed form: 35 meV per atom

---

Number 1: E_tot -5.168 eV/atom, Fermi-level density of states 1.20 states/eV/atom. Number 2: E_tot -4.189 eV/atom, Fermi-level density of states 1.33 states/eV/atom. Number 3: E_tot -4.630 eV/atom, Fermi-level density of states 1.14 states/eV/atom. Number 4: E_tot -9.863 eV/atom, Fermi-level density of states 0.90 states/eV/atom. Number 5: E_tot -6.474 eV/atom, Fermi-level density of states 0.14 states/eV/atom. Number 6: E_tot -8.790 eV/atom, Fermi-level density of states 0.90 states/eV/atom. Number 7: E_tot -4.363 eV/atom, Fermi-level density of states 0.75 states/eV/atom. Number 8: E_tot -4.925 eV/atom, Fermi-level density of states 1.18 states/eV/atom.